Entry 1:
Computed, not measured: a geometry-optimized SrCu2Ag structure at the PBE-GGA level of DFT.

Properties
Energy relative to the lowest polymorph listed for this composition in eV/f.u.: 0.76
Total DFT energy (no corrections) in eV for the cell shown: -12.3
Density in Mg/m³: 6.66

a = 3.4363 Å, b = 3.4363 Å, c = 6.8151 Å
α = 90.00°, β = 90.00°, γ = 90.00°
Element x y z (fractional)
Cu  0.0000  0.0000  0.0249
Cu  0.5000  0.5000  0.1807
Sr  0.0000  0.0000  0.4856
Ag  0.5000  0.5000  0.8088


Entry 2:
Computed, not measured: a geometry-optimized SrCuAg structure at the PBE-GGA level of DFT.

Properties
Energy relative to the lowest polymorph listed for this composition in eV/f.u.: 1.59
Total DFT energy (no corrections) in eV for the cell shown: -7.5
Density in Mg/m³: 4.53

a = 5.1192 Å, b = 5.1192 Å, c = 5.1192 Å
α = 60.00°, β = 60.00°, γ = 60.00°
Element x y z (fractional)
Ag  0.0000  0.0000  0.0000
Sr  0.7500  0.7500  0.7500
Cu  0.5000  0.5000  0.5000


Entry 3:
Computed, not measured: a geometry-optimized SrCu4Ag structure at the PBE-GGA level of DFT.

Properties
Energy relative to the lowest polymorph listed for this composition in eV/f.u.: 0.37
Total DFT energy (no corrections) in eV for the cell shown: -21.1
Density in Mg/m³: 7.48

a = 5.2075 Å, b = 5.2075 Å, c = 5.2075 Å
α = 60.00°, β = 60.00°, γ = 60.00°
Element x y z (fractional)
Cu  0.6264  0.6264  0.6264
Cu  0.6264  0.1207  0.6264
Cu  0.6264  0.6264  0.1207
Cu  0.1207  0.6264  0.6264
Sr  0.2500  0.2500  0.2500
Ag  0.0000  0.0000  0.0000